# 1
Material: LiCa2HRu
Method: DFT, PBE
State: optimized geometry

```
data_LiCa2HRu
_chemical_formula_sum 'Li1 Ca2 H1 Ru1'
_cell_length_a 5.1310
_cell_length_b 5.1310
_cell_length_c 3.5672
_cell_angle_alpha 90.00
_cell_angle_beta 90.00
_cell_angle_gamma 90.00
_symmetry_space_group_name_H-M 'P 4/m m m'
_symmetry_Int_Tables_number 123
_symmetry_space_group_name_Hall '-P 4 2'
loop_
_atom_site_label
_atom_site_type_symbol
_atom_site_fract_x
_atom_site_fract_y
_atom_site_fract_z
_atom_site_occupancy
Li1 Li 0.0000 0.0000 0.0000 1
Ca1 Ca 0.0000 0.5000 0.5000 1
H1 H 0.5000 0.5000 0.5000 1
Ru1 Ru 0.5000 0.5000 0.0000 1
```

Summary:
Its total energy is -3.763 eV/atom. The calculation puts the density of states at the Fermi level at 0.256 states/eV per atom. As for the total moment: 0.00 μB per cell.

# 2
Material: HoThCl
Method: DFT, PBE
State: optimized geometry

```
data_HoThCl
_chemical_formula_sum 'Ho1 Th1 Cl1'
_cell_length_a 3.5806
_cell_length_b 3.5806
_cell_length_c 7.7435
_cell_angle_alpha 90.00
_cell_angle_beta 90.00
_cell_angle_gamma 120.00
_symmetry_space_group_name_H-M 'P 3 m 1'
_symmetry_Int_Tables_number 156
_symmetry_space_group_name_Hall 'P 3 -2"'
loop_
_atom_site_label
_atom_site_type_symbol
_atom_site_fract_x
_atom_site_fract_y
_atom_site_fract_z
_atom_site_occupancy
Ho1 Ho 0.0000 0.0000 0.0000 1
Th1 Th 0.6667 0.3333 0.3611 1
Cl1 Cl 0.3333 0.6667 0.7468 1
```

Summary:
As for the uncorrected formation energy: -2.30 eV/f.u. The calculation puts the density of states at the Fermi level at 0.927 states/eV per atom. As for the total moment: 0.10 μB per cell.

# 3
Material: Hg2IrCl
Method: DFT, PBE
State: optimized geometry

```
data_Hg2IrCl
_chemical_formula_sum 'Hg4 Ir2 Cl2'
_cell_length_a 4.1462
_cell_length_b 4.1462
_cell_length_c 9.2187
_cell_angle_alpha 90.00
_cell_angle_beta 90.00
_cell_angle_gamma 90.00
_symmetry_space_group_name_H-M 'I -4 m 2'
_symmetry_Int_Tables_number 119
_symmetry_space_group_name_Hall 'I -4 -2'
loop_
_atom_site_label
_atom_site_type_symbol
_atom_site_fract_x
_atom_site_fract_y
_atom_site_fract_z
_atom_site_occupancy
Hg1 Hg 0.0000 0.0000 0.0000 1
Hg2 Hg 0.0000 0.5000 0.2500 1
Ir1 Ir 0.0000 0.5000 0.7500 1
Cl1 Cl 0.0000 0.0000 0.5000 1
```

Summary:
As for the uncorrected formation energy: 2.57 eV/f.u. As for the polymorph energy (0 for the lowest one): 2.010 eV/f.u. The calculation puts the density of states at the Fermi level at 0.472 states/eV per atom. As for the total moment: 0.00 μB per cell.

# 4
Material: TaInW2
Method: DFT, PBE
State: optimized geometry

```
data_TaInW2
_chemical_formula_sum 'Ta1 In1 W2'
_cell_length_a 2.7942
_cell_length_b 2.7942
_cell_length_c 9.1858
_cell_angle_alpha 90.00
_cell_angle_beta 90.00
_cell_angle_gamma 90.00
_symmetry_space_group_name_H-M 'P 4/m m m'
_symmetry_Int_Tables_number 123
_symmetry_space_group_name_Hall '-P 4 2'
loop_
_atom_site_label
_atom_site_type_symbol
_atom_site_fract_x
_atom_site_fract_y
_atom_site_fract_z
_atom_site_occupancy
Ta1 Ta 0.0000 0.0000 0.0000 1
In1 In 0.0000 0.0000 0.5000 1
W1 W 0.5000 0.5000 0.2479 1
```

Summary:
The calculation puts the density of states at the Fermi level at 0.550 states/eV per atom. As for the total moment: 0.00 μB per cell. The formation energy comes out at 467 meV/atom.

# 5
Material: SiPd3Ru
Method: DFT, PBE
State: optimized geometry

```
data_SiPd3Ru
_chemical_formula_sum 'Si1 Pd3 Ru1'
_cell_length_a 4.4720
_cell_length_b 4.4720
_cell_length_c 4.4720
_cell_angle_alpha 90.00
_cell_angle_beta 90.00
_cell_angle_gamma 90.00
_symmetry_space_group_name_H-M 'P m -3 m'
_symmetry_Int_Tables_number 221
_symmetry_space_group_name_Hall '-P 4 2 3'
loop_
_atom_site_label
_atom_site_type_symbol
_atom_site_fract_x
_atom_site_fract_y
_atom_site_fract_z
_atom_site_occupancy
Si1 Si 0.0000 0.0000 0.0000 1
Pd1 Pd 0.0000 0.0000 0.5000 1
Ru1 Ru 0.5000 0.5000 0.5000 1
```

Summary:
As for the uncorrected formation energy: 2.64 eV/f.u. As for the polymorph energy (0 for the lowest one): 0.000 eV/f.u. The calculation puts the density of states at the Fermi level at 1.139 states/eV per atom. As for the total moment: 2.75 μB per cell.

# 6
Material: Cs2BaTlBr6
Method: DFT, PBE
State: optimized geometry

```
data_Cs2BaTlBr6
_chemical_formula_sum 'Cs4 Ba2 Tl2 Br12'
_cell_length_a 8.6700
_cell_length_b 8.6700
_cell_length_c 12.2473
_cell_angle_alpha 90.00
_cell_angle_beta 90.00
_cell_angle_gamma 90.00
_symmetry_space_group_name_H-M 'I 4/m m m'
_symmetry_Int_Tables_number 139
_symmetry_space_group_name_Hall '-I 4 2'
loop_
_atom_site_label
_atom_site_type_symbol
_atom_site_fract_x
_atom_site_fract_y
_atom_site_fract_z
_atom_site_occupancy
Cs1 Cs 0.0000 0.5000 0.2500 1
Ba1 Ba 0.0000 0.0000 0.0000 1
Tl1 Tl 0.0000 0.0000 0.5000 1
Br1 Br 0.0000 0.0000 0.2574 1
Br2 Br 0.2428 0.2428 0.5000 1
```

Summary:
As for the uncorrected formation energy: -14.94 eV/f.u. As for the polymorph energy (0 for the lowest one): 0.303 eV/f.u. The calculation puts the density of states at the Fermi level at 0.847 states/eV per atom. As for the total moment: 0.00 μB per cell.